# 1
Entry from Alexandria via LeMat-Bulk: an optimized crystal structure of LiPuPa2S4 (GGA-PBE).

Cell lengths 6.6724, 3.8402, 6.7954 Å; angles 90.00, 109.12, 90.00 degrees
Fractional coordinates of all 8 atoms:
1 Li 0.0000 0.0000 0.0000
2 Pu 0.5000 0.5000 0.0000
3 Pa 0.0000 0.5000 0.5000
4 Pa 0.5000 0.0000 0.5000
5 S 0.2384 0.5000 0.2413
6 S 0.2435 0.0000 0.7571
7 S 0.7565 0.0000 0.2429
8 S 0.7616 0.5000 0.7587

Summary:
* theoretical density: 8492 kg/m³
* total magnetization: 5.1 μB per formula unit
* formation energy without anion corrections: -1573 meV per atom
* space-group type: No. 10


# 2
Entry from Alexandria via LeMat-Bulk: an optimized crystal structure of KLa2Cd (GGA-PBE).

Cell lengths 3.4820, 6.1195, 6.6874 Å; angles 90.00, 94.04, 90.00 degrees
Fractional coordinates of all 4 atoms:
1 K 0.0000 0.0000 0.0000
2 La 0.2505 0.5000 0.7074
3 La 0.7495 0.5000 0.2926
4 Cd 0.5000 0.0000 0.5000

Summary:
* theoretical density: 5015 kg/m³
* total magnetization: 0.0 μB per formula unit
* space-group type: No. 10
* formation energy: 0.14 eV per atom


# 3
Entry from Alexandria via LeMat-Bulk: an optimized crystal structure of Zn5Cl (GGA-PBE).

Cell lengths 7.1392, 7.1392, 3.0636 Å; angles 90.00, 90.00, 136.83 degrees
Fractional coordinates of all 6 atoms:
1 Zn 0.0000 0.0000 0.0000
2 Zn 0.1671 0.8329 0.5000
3 Zn 0.3286 0.6714 0.0000
4 Zn 0.6714 0.3286 0.0000
5 Zn 0.8329 0.1671 0.5000
6 Cl 0.5000 0.5000 0.5000

Summary:
* theoretical density: 5635 kg/m³
* distance to the lowest polymorph of the same formula: 74 meV per atom
* total magnetization: 0.0 μB per formula unit
* formation energy without anion corrections: 44 meV per atom
* space-group type: No. 65